This record from Alexandria describes a relaxed structure of Ti2TcPPd. The functional is GGA-PBE.

a b c (Å): 4.7463 4.2586 4.7463
angles (deg): 90.00 90.00 90.00
Last column: nearest neighbours and their distance in Å.
Atoms (fractional coordinates):
P  0.0000  0.5000  0.0000  2 Pd 2.13
Tc  0.5000  0.5000  0.5000  8 Ti 3.19, 4 P 3.36
Pd  0.0000  0.0000  0.0000  2 P 2.13, 4 Ti 2.37
Ti  0.0000  0.0000  0.5000  2 Pd 2.37
Ti  0.5000  0.0000  0.0000  2 Pd 2.37

Properties
E_form ... 884 meV/atom
SG ... P4/mmm

=====

This record from Alexandria describes a relaxed structure of Hf2ZnBi. The functional is GGA-PBE.

a b c (Å): 4.9570 4.9570 4.9570
angles (deg): 60.00 60.00 60.00
Last column: nearest neighbours and their distance in Å.
Atoms (fractional coordinates):
Zn  0.0000  0.0000  0.0000  8 Hf 3.04
Hf  0.2500  0.2500  0.2500  4 Bi 3.04, 4 Zn 3.04
Hf  0.7500  0.7500  0.7500  4 Bi 3.04, 4 Zn 3.04
Bi  0.5000  0.5000  0.5000  8 Hf 3.04

Properties
E_form ... 118 meV/atom
SG ... Fm-3m
E above lowest polymorph ... 137.3 meV per atom

=====

This record from Alexandria describes a relaxed structure of NaHgCl3. The functional is GGA-PBE.

a b c (Å): 5.3040 5.3040 5.3040
angles (deg): 90.00 90.00 90.00
Last column: nearest neighbours and their distance in Å.
Atoms (fractional coordinates):
Na  0.5000  0.5000  0.5000  12 Cl 3.75
Hg  0.0000  0.0000  0.0000  6 Cl 2.65
Cl  0.0000  0.5000  0.0000  2 Hg 2.65
Cl  0.0000  0.0000  0.5000  2 Hg 2.65
Cl  0.5000  0.0000  0.0000  2 Hg 2.65

Properties
SG ... Pm-3m
ΔE_f (raw) ... -886.5 meV/atom
E above lowest polymorph ... 172.3 meV per atom

=====

This record from Alexandria describes a relaxed structure of KMoAs2. The functional is GGA-PBE.

a b c (Å): 6.2299 6.2299 6.2299
angles (deg): 151.19 113.27 74.26
Last column: nearest neighbours and their distance in Å.
Atoms (fractional coordinates):
As  0.0533  0.0533  0.0000  2 Mo 2.49
As  0.4467  0.4467  0.0000  2 Mo 2.49
K  0.7500  0.2500  0.5000  2 K 3.10, 4 As 3.39
Mo  0.2500  0.7500  0.5000  4 As 2.49

Properties
E_form ... 198 meV/atom
SG ... Immm
E above lowest polymorph ... 421.7 meV per atom

=====

This record from Alexandria describes a relaxed structure of YNbBi2Sb. The functional is GGA-PBE.

a b c (Å): 5.7580 5.6480 5.7580
angles (deg): 90.00 90.00 90.00
Last column: nearest neighbours and their distance in Å.
Atoms (fractional coordinates):
Y  0.0000  0.0000  0.0000  2 Sb 2.82, 4 Bi 2.88
Sb  0.0000  0.5000  0.0000  2 Y 2.82
Nb  0.5000  0.5000  0.5000  8 Bi 4.03, 4 Sb 4.07
Bi  0.0000  0.0000  0.5000  2 Y 2.88
Bi  0.5000  0.0000  0.0000  2 Y 2.88

Properties
SG ... P4/mmm
ΔE_f (raw) ... 1203.2 meV/atom

=====

Copy entry 3 word for word.
This record from Alexandria describes a relaxed structure of NaHgCl3. The functional is GGA-PBE.

a b c (Å): 5.3040 5.3040 5.3040
angles (deg): 90.00 90.00 90.00
Last column: nearest neighbours and their distance in Å.
Atoms (fractional coordinates):
Na  0.5000  0.5000  0.5000  12 Cl 3.75
Hg  0.0000  0.0000  0.0000  6 Cl 2.65
Cl  0.0000  0.5000  0.0000  2 Hg 2.65
Cl  0.0000  0.0000  0.5000  2 Hg 2.65
Cl  0.5000  0.0000  0.0000  2 Hg 2.65

Properties
SG ... Pm-3m
ΔE_f (raw) ... -886.5 meV/atom
E above lowest polymorph ... 172.3 meV per atom